No. 1
Below is a relaxed BaAcTlCd crystal, with properties calculated at the PBE-GGA level.

Cell: 5.917 5.917 5.917 Å, 60.00 60.00 60.00°
Sites, in units of the cell vectors:
Ac1 0.500 0.500 0.500
Cd1 0.250 0.250 0.250
Tl1 0.750 0.750 0.750
Ba1 0.000 0.000 0.000

Calculated values
The value obtained for the energy of formation from the pure elements is -0.33 eV/atom. For the total energy, the calculation gives -10.618 eV per cell. As for the space group: F-43m, No. 216. For the offset from the most stable computed form, the calculation gives 0.021 eV per atom.

---

No. 2
Below is a relaxed OsBr2N crystal, with properties calculated at the PBE-GGA level.

Cell: 4.482 4.482 4.482 Å, 60.00 60.00 60.00°
Sites, in units of the cell vectors:
Os1 0.500 0.500 0.500
Br1 0.250 0.250 0.250
Br2 0.750 0.750 0.750
N1 0.000 0.000 0.000

Calculated values
For the total energy, the calculation gives -14.723 eV per cell. As for the space group: Fm-3m, No. 225. For the offset from the most stable computed form, the calculation gives 1.710 eV per atom.

---

No. 3
Below is a relaxed MgInMo4 crystal, with properties calculated at the PBE-GGA level.

Cell: 5.344 5.344 5.344 Å, 60.00 60.00 60.00°
Sites, in units of the cell vectors:
Mg1 0.000 0.000 0.000
In1 0.750 0.750 0.750
Mo1 0.876 0.375 0.375
Mo2 0.375 0.375 0.876
Mo3 0.375 0.876 0.375
Mo4 0.375 0.375 0.375

Calculated values
The value obtained for the energy of formation from the pure elements is 0.37 eV/atom. For the total energy, the calculation gives -45.451 eV per cell. As for the space group: F-43m, No. 216.

---

No. 4
Below is a relaxed LiNdBiPb crystal, with properties calculated at the PBE-GGA level.

Cell: 5.439 5.439 5.439 Å, 60.00 60.00 60.00°
Sites, in units of the cell vectors:
Pb1 0.000 0.000 0.000
Nd1 0.750 0.750 0.750
Bi1 0.500 0.500 0.500
Li1 0.250 0.250 0.250

Calculated values
The value obtained for the energy of formation from the pure elements is -0.38 eV/atom. For the total energy, the calculation gives -15.778 eV per cell. As for the space group: F-43m, No. 216.

---

Number 1: mass density 7.720 Mg/m³, size of the total moment 0.00 μB/cell. Number 2: mass density 9.495 Mg/m³, size of the total moment 1.76 μB/cell. Number 3: mass density 8.044 Mg/m³, size of the total moment 0.00 μB/cell. Number 4: mass density 8.282 Mg/m³, size of the total moment 0.00 μB/cell.